# 1
Entry from Alexandria via LeMat-Bulk: an optimized crystal structure of PmSmTlIn (PBE-GGA).

Cell and atoms, written as POSCAR:
```
PmSmTlIn
1.0
5.454 0.000 0.000
2.727 4.723 0.000
2.727 1.574 4.453
Sm In Pm Tl
1 1 1 1
Direct
0.750 0.750 0.750 Sm
0.500 0.500 0.500 In
0.250 0.250 0.250 Pm
0.000 0.000 0.000 Tl
```

Computed properties:
For the final energy, the calculation gives -16.32 eV for the cell shown. For the size of the total moment, the calculation gives 0.000 μB per atom.


# 2
Entry from Alexandria via LeMat-Bulk: an optimized crystal structure of Pm3Sm3Tl2In (PBE-GGA).

Cell and atoms, written as POSCAR:
```
Pm3Sm3Tl2In
1.0
3.821 0.000 0.000
0.000 9.145 0.000
0.000 -4.572 7.919
In Pm Sm Tl
1 3 3 2
Direct
0.000 0.000 0.000 In
0.500 0.287 0.287 Pm
0.500 0.000 0.713 Pm
0.500 0.713 0.000 Pm
0.000 0.000 0.383 Sm
0.000 0.617 0.617 Sm
0.000 0.383 0.000 Sm
0.500 0.333 0.667 Tl
0.500 0.667 0.333 Tl
```

Computed properties:
For the final energy, the calculation gives -38.43 eV for the cell shown. For the size of the total moment, the calculation gives 0.000 μB per atom.


# 3
Entry from Alexandria via LeMat-Bulk: an optimized crystal structure of PmSmTmIn (PBE-GGA).

Cell and atoms, written as POSCAR:
```
PmSmTmIn
1.0
-1.786 -4.106 3.190
3.234 -2.004 3.968
-1.215 0.948 5.277
Tm In Pm Sm
1 1 1 1
Direct
0.250 0.250 0.250 Tm
0.500 0.500 0.500 In
0.000 0.000 0.000 Pm
0.750 0.750 0.750 Sm
```

Computed properties:
For the final energy, the calculation gives -17.07 eV for the cell shown. For the size of the total moment, the calculation gives 0.324 μB per atom.


# 4
Entry from Alexandria via LeMat-Bulk: an optimized crystal structure of Pm6Sm3Tm2In (PBE-GGA).

Cell and atoms, written as POSCAR:
```
Pm6Sm3Tm2In
1.0
6.230 -0.011 0.006
-3.123 5.391 0.006
-1.070 -1.853 11.575
Sm Pm Tm In
3 6 2 1
Direct
0.832 0.168 0.500 Sm
0.168 0.832 0.500 Sm
0.500 0.500 0.500 Sm
0.920 0.593 0.757 Pm
0.593 0.920 0.757 Pm
0.753 0.753 0.245 Pm
0.080 0.407 0.243 Pm
0.407 0.080 0.243 Pm
0.247 0.247 0.755 Pm
0.334 0.666 0.000 Tm
0.666 0.334 0.000 Tm
0.000 0.000 0.000 In
```

Computed properties:
For the final energy, the calculation gives -54.70 eV for the cell shown. For the size of the total moment, the calculation gives 0.000 μB per atom.


# 5
Entry from Alexandria via LeMat-Bulk: an optimized crystal structure of Pm2Sm6Tm3In (PBE-GGA).

Cell and atoms, written as POSCAR:
```
Pm2Sm6Tm3In
1.0
-4.310 0.667 4.341
4.981 -3.440 1.106
5.324 10.268 2.258
Tm Sm In Pm
3 6 1 2
Direct
0.833 0.167 0.500 Tm
0.167 0.833 0.500 Tm
0.500 0.500 0.500 Tm
0.410 0.084 0.252 Sm
0.758 0.758 0.253 Sm
0.590 0.916 0.748 Sm
0.242 0.242 0.747 Sm
0.916 0.590 0.748 Sm
0.084 0.410 0.252 Sm
0.000 0.000 0.000 In
0.666 0.334 0.000 Pm
0.334 0.666 0.000 Pm
```

Computed properties:
For the final energy, the calculation gives -54.56 eV for the cell shown. For the size of the total moment, the calculation gives 0.000 μB per atom.


# 6
Entry from Alexandria via LeMat-Bulk: an optimized crystal structure of PmSm2TmIn4 (PBE-GGA).

Cell and atoms, written as POSCAR:
```
PmSm2TmIn4
1.0
-0.959 1.790 4.981
-3.738 -2.388 3.042
4.535 -5.724 5.834
In Pm Sm Tm
4 1 2 1
Direct
0.376 0.376 0.871 In
0.126 0.126 0.621 In
0.874 0.874 0.379 In
0.624 0.624 0.129 In
0.000 0.000 0.000 Pm
0.249 0.249 0.253 Sm
0.751 0.751 0.747 Sm
0.500 0.500 0.500 Tm
```

Computed properties:
For the final energy, the calculation gives -33.40 eV for the cell shown. For the size of the total moment, the calculation gives 0.000 μB per atom.


# 7
Entry from Alexandria via LeMat-Bulk: an optimized crystal structure of Pm3Sm6Tm2In (PBE-GGA).

Cell and atoms, written as POSCAR:
```
Pm3Sm6Tm2In
1.0
-2.159 -1.435 5.654
5.941 -1.130 -1.453
1.643 11.386 2.362
Sm Pm Tm In
6 3 2 1
Direct
0.247 0.247 0.756 Sm
0.593 0.920 0.758 Sm
0.080 0.407 0.242 Sm
0.407 0.080 0.242 Sm
0.753 0.753 0.244 Sm
0.920 0.593 0.758 Sm
0.168 0.832 0.500 Pm
0.500 0.500 0.500 Pm
0.832 0.168 0.500 Pm
0.334 0.666 0.000 Tm
0.666 0.334 0.000 Tm
0.000 0.000 0.000 In
```

Computed properties:
For the final energy, the calculation gives -54.61 eV for the cell shown. For the size of the total moment, the calculation gives 0.000 μB per atom.


# 8
Entry from Alexandria via LeMat-Bulk: an optimized crystal structure of Pm2Sm3Y6In (PBE-GGA).

Cell and atoms, written as POSCAR:
```
Pm2Sm3Y6In
1.0
-1.276 -5.623 -2.174
5.500 1.153 2.530
-5.549 -1.588 10.280
Y Sm Pm In
6 3 2 1
Direct
0.592 0.918 0.754 Y
0.408 0.082 0.246 Y
0.755 0.755 0.247 Y
0.918 0.592 0.754 Y
0.082 0.408 0.246 Y
0.245 0.245 0.753 Y
0.500 0.500 0.500 Sm
0.167 0.833 0.500 Sm
0.833 0.167 0.500 Sm
0.334 0.666 0.000 Pm
0.666 0.334 0.000 Pm
0.000 0.000 0.000 In
```

Computed properties:
For the final energy, the calculation gives -65.85 eV for the cell shown. For the size of the total moment, the calculation gives 0.000 μB per atom.


# 9
Entry from Alexandria via LeMat-Bulk: an optimized crystal structure of Pm2Sm6Y3In (PBE-GGA).

Cell and atoms, written as POSCAR:
```
Pm2Sm6Y3In
1.0
6.194 -0.005 0.001
-3.100 5.363 0.001
-1.039 -1.798 11.668
Y Sm Pm In
3 6 2 1
Direct
0.167 0.833 0.500 Y
0.833 0.167 0.500 Y
0.500 0.500 0.500 Y
0.757 0.757 0.250 Sm
0.083 0.409 0.249 Sm
0.409 0.083 0.249 Sm
0.917 0.591 0.751 Sm
0.591 0.917 0.751 Sm
0.243 0.243 0.750 Sm
0.666 0.334 0.000 Pm
0.334 0.666 0.000 Pm
0.000 0.000 0.000 In
```

Computed properties:
For the final energy, the calculation gives -60.54 eV for the cell shown. For the size of the total moment, the calculation gives 0.000 μB per atom.


# 10
Entry from Alexandria via LeMat-Bulk: an optimized crystal structure of PmSm2Zn2In2 (PBE-GGA).

Cell and atoms, written as POSCAR:
```
PmSm2Zn2In2
1.0
4.750 0.000 0.000
2.375 4.114 0.000
2.375 1.371 9.326
Pm In Zn Sm
1 2 2 2
Direct
0.000 0.000 0.000 Pm
0.264 0.264 0.209 In
0.736 0.736 0.791 In
0.600 0.600 0.201 Zn
0.400 0.400 0.799 Zn
0.872 0.872 0.384 Sm
0.128 0.128 0.616 Sm
```

Computed properties:
For the final energy, the calculation gives -24.32 eV for the cell shown. For the size of the total moment, the calculation gives 0.000 μB per atom.


# 11
Entry from Alexandria via LeMat-Bulk: an optimized crystal structure of PmSmZn2In2 (PBE-GGA).

Cell and atoms, written as POSCAR:
```
PmSmZn2In2
1.0
-2.911 3.243 1.812
2.715 -2.595 2.859
5.434 5.149 -0.485
Zn In Pm Sm
2 2 1 1
Direct
0.667 0.333 0.757 Zn
0.333 0.667 0.243 Zn
0.333 0.667 0.753 In
0.667 0.333 0.247 In
0.000 0.000 0.500 Pm
0.000 0.000 0.000 Sm
```

Computed properties:
For the final energy, the calculation gives -20.20 eV for the cell shown. For the size of the total moment, the calculation gives 0.000 μB per atom.


# 12
Entry from Alexandria via LeMat-Bulk: an optimized crystal structure of Pm2InSn3 (PBE-GGA).

Cell and atoms, written as POSCAR:
```
Pm2InSn3
1.0
3.477 0.000 0.000
0.000 5.736 0.000
-1.739 -2.868 8.996
Pm Sn In
2 3 1
Direct
0.654 0.654 0.309 Pm
0.346 0.346 0.691 Pm
0.168 0.168 0.337 Sn
0.000 0.500 0.000 Sn
0.832 0.832 0.663 Sn
0.000 0.000 0.000 In
```

Computed properties:
For the final energy, the calculation gives -26.04 eV for the cell shown. For the size of the total moment, the calculation gives 0.000 μB per atom.


# 13
Entry from Alexandria via LeMat-Bulk: an optimized crystal structure of Pm3In3Sn4 (PBE-GGA).

Cell and atoms, written as POSCAR:
```
Pm3In3Sn4
1.0
-4.155 -0.104 -1.971
-3.335 -0.986 7.082
-0.884 7.703 1.458
Sn Pm In
4 3 3
Direct
0.000 0.868 0.866 Sn
0.000 0.634 0.366 Sn
0.000 0.134 0.132 Sn
0.000 0.360 0.640 Sn
0.500 0.321 0.332 Pm
0.500 0.668 0.679 Pm
0.500 0.844 0.156 Pm
0.000 0.992 0.492 In
0.500 0.171 0.829 In
0.000 0.508 0.008 In
```

Computed properties:
For the final energy, the calculation gives -42.67 eV for the cell shown. For the size of the total moment, the calculation gives 0.000 μB per atom.


# 14
Entry from Alexandria via LeMat-Bulk: an optimized crystal structure of PmInSn (PBE-GGA).

Cell and atoms, written as POSCAR:
```
PmInSn
1.0
4.477 0.000 0.000
0.000 4.694 0.000
0.000 -2.347 4.065
In Pm Sn
1 1 1
Direct
0.714 0.667 0.333 In
0.341 0.333 0.667 Pm
0.945 0.000 0.000 Sn
```

Computed properties:
For the final energy, the calculation gives -12.94 eV for the cell shown. For the size of the total moment, the calculation gives 0.000 μB per atom.


# 15
Entry from Alexandria via LeMat-Bulk: an optimized crystal structure of Pm7In2Sn2 (PBE-GGA).

Cell and atoms, written as POSCAR:
```
Pm7In2Sn2
1.0
7.008 -0.002 -0.883
0.004 7.790 0.003
-1.318 -0.003 6.940
Pm In Sn
7 2 2
Direct
0.000 0.712 0.500 Pm
0.000 0.000 0.000 Pm
0.500 0.732 0.500 Pm
0.500 0.268 0.500 Pm
0.000 0.288 0.500 Pm
0.500 0.288 0.000 Pm
0.500 0.712 0.000 Pm
0.828 0.500 0.828 In
0.172 0.500 0.172 In
0.290 0.000 0.710 Sn
0.710 0.000 0.290 Sn
```

Computed properties:
For the final energy, the calculation gives -49.51 eV for the cell shown. For the size of the total moment, the calculation gives 0.000 μB per atom.


# 16
Entry from Alexandria via LeMat-Bulk: an optimized crystal structure of Pm7InSn3 (PBE-GGA).

Cell and atoms, written as POSCAR:
```
Pm7InSn3
1.0
-0.262 -2.740 -5.321
-0.600 -5.380 6.169
-7.151 3.559 1.889
Pm Sn In
7 3 1
Direct
0.332 0.597 0.068 Pm
0.000 0.500 0.500 Pm
0.668 0.403 0.932 Pm
0.169 0.170 0.170 Pm
0.332 0.068 0.597 Pm
0.831 0.830 0.830 Pm
0.668 0.932 0.403 Pm
0.500 0.000 0.000 Sn
0.000 0.236 0.764 Sn
0.000 0.764 0.236 Sn
0.500 0.500 0.500 In
```

Computed properties:
For the final energy, the calculation gives -52.18 eV for the cell shown. For the size of the total moment, the calculation gives 0.000 μB per atom.


# 17
Entry from Alexandria via LeMat-Bulk: an optimized crystal structure of Pm4In5Sn2 (PBE-GGA).

Cell and atoms, written as POSCAR:
```
Pm4In5Sn2
1.0
3.521 0.000 0.000
0.000 8.225 -0.041
0.000 -0.846 10.490
Pm In Sn
4 5 2
Direct
0.500 0.276 0.441 Pm
0.500 0.724 0.559 Pm
0.500 0.829 0.116 Pm
0.500 0.171 0.884 Pm
0.000 0.500 0.000 In
0.000 0.555 0.296 In
0.000 0.194 0.159 In
0.000 0.445 0.704 In
0.000 0.806 0.841 In
0.000 0.063 0.637 Sn
0.000 0.937 0.363 Sn
```

Computed properties:
For the final energy, the calculation gives -45.89 eV for the cell shown. For the size of the total moment, the calculation gives 0.000 μB per atom.


# 18
Entry from Alexandria via LeMat-Bulk: an optimized crystal structure of Pm12In6Sn (PBE-GGA).

Cell and atoms, written as POSCAR:
```
Pm12In6Sn
1.0
-3.556 6.993 -4.355
2.017 -6.236 -6.129
-6.399 -3.405 5.290
Pm In Sn
12 6 1
Direct
0.609 0.937 0.690 Pm
0.690 0.609 0.937 Pm
0.391 0.063 0.310 Pm
0.653 0.964 0.118 Pm
0.118 0.653 0.964 Pm
0.347 0.036 0.882 Pm
0.063 0.310 0.391 Pm
0.964 0.118 0.653 Pm
0.310 0.391 0.063 Pm
0.036 0.882 0.347 Pm
0.937 0.690 0.609 Pm
0.882 0.347 0.036 Pm
0.663 0.357 0.257 In
0.743 0.337 0.643 In
0.257 0.663 0.357 In
0.643 0.743 0.337 In
0.337 0.643 0.743 In
0.357 0.257 0.663 In
0.000 0.000 0.000 Sn
```

Computed properties:
For the final energy, the calculation gives -81.17 eV for the cell shown. For the size of the total moment, the calculation gives 0.000 μB per atom.


# 19
Entry from Alexandria via LeMat-Bulk: an optimized crystal structure of PmInSn2 (PBE-GGA).

Cell and atoms, written as POSCAR:
```
PmInSn2
1.0
-3.775 -2.205 -1.918
1.627 -4.149 1.567
-2.390 0.585 4.033
In Sn Pm
1 2 1
Direct
0.500 0.500 0.500 In
0.000 0.500 0.000 Sn
0.000 0.000 0.500 Sn
0.500 0.000 0.000 Pm
```

Computed properties:
For the final energy, the calculation gives -17.47 eV for the cell shown. For the size of the total moment, the calculation gives 0.000 μB per atom.


# 20
Entry from Alexandria via LeMat-Bulk: an optimized crystal structure of Pm5In4Sn (PBE-GGA).

Cell and atoms, written as POSCAR:
```
Pm5In4Sn
1.0
-0.168 -0.852 -3.582
2.879 -2.265 0.404
-13.054 -15.818 4.372
In Pm Sn
4 5 1
Direct
0.000 0.000 0.798 In
0.000 0.000 0.400 In
0.000 0.000 0.202 In
0.000 0.000 0.600 In
0.500 0.500 0.100 Pm
0.500 0.500 0.900 Pm
0.500 0.500 0.700 Pm
0.500 0.500 0.300 Pm
0.500 0.500 0.500 Pm
0.000 0.000 0.000 Sn
```

Computed properties:
For the final energy, the calculation gives -43.94 eV for the cell shown. For the size of the total moment, the calculation gives 0.000 μB per atom.